Record 1
First-principles (GGA-PBE) data for an optimized crystal structure of Fe2HgRu, as listed in Alexandria.

Geometry as POSCAR:
```
Fe2HgRu
1.0
7.000 0.000 0.000
0.000 7.000 0.000
3.500 3.500 2.691
Ru Fe Hg
2 4 2
direct
0.250 0.750 0.500
0.500 0.500 0.000
0.596 0.125 0.250
0.875 0.846 0.750
0.375 0.404 0.750
0.154 0.625 0.250
0.000 0.000 0.000
0.750 0.250 0.500
```

ΔE_f = 0.7694 eV per atom
SG = I-42d

=====

Record 2
First-principles (GGA-PBE) data for an optimized crystal structure of CaZr2AlPd, as listed in Alexandria.

Geometry as POSCAR:
```
CaZr2AlPd
1.0
-3.420 2.320 3.023
0.814 -3.160 3.346
3.705 2.975 1.908
Al Pd Zr Ca
1 1 2 1
direct
0.500 0.500 0.500
0.000 0.500 0.000
0.500 0.000 0.000
0.000 0.000 0.500
0.000 0.000 0.000
```

ΔE_f = 1.2513 eV per atom
SG = P4/mmm

=====

Record 3
First-principles (GGA-PBE) data for an optimized crystal structure of ZrTe2Ir, as listed in Alexandria.

Geometry as POSCAR:
```
ZrTe2Ir
1.0
4.983 0.000 0.000
2.492 4.315 0.000
2.492 1.438 4.069
Ir Te Zr
1 2 1
direct
0.500 0.500 0.500
0.000 0.000 0.000
0.750 0.750 0.750
0.250 0.250 0.250
```

energy relative to the elements, uncorrected = 168 meV/atom
E above lowest polymorph = 802 meV/atom
SG = F-43m